Density functional theory data (PBE) for a relaxed structure of KPd2Rh2.

Results
- Fermi-level density of states (states/eV/cell) = 14.1
- total energy (eV per atom) = -4.93
- relative energy among the computed polymorphs (eV/atom) = 0.073

a = 8.1108 Å, b = 8.1108 Å, c = 2.7171 Å
α = 90.00°, β = 90.00°, γ = 90.00°
Closest atoms and distances in Å follow each position.
Space group P4/mbm (No. 127)
Asymmetric unit:
K1 0.0000 0.0000 0.0000 (multiplicity 2)  2 K 2.72
Pd1 0.1229 0.3771 0.0000 (multiplicity 4)  3 Pd 2.72-2.82, 6 Rh 2.72-2.77
Rh1 0.1713 0.6713 0.5000 (multiplicity 4)  2 Rh 2.72, 6 Pd 2.72-2.77

=====

Density functional theory data (PBE) for a relaxed structure of PrGa7Ag5.

Results
- Fermi-level density of states (states/eV/cell) = 7.1
- total energy (eV per atom) = -3.26

a = 5.7051 Å, b = 9.5216 Å, c = 9.0242 Å
α = 90.00°, β = 90.00°, γ = 90.00°
Closest atoms and distances in Å follow each position.
Space group Imm2 (No. 44)
Asymmetric unit:
Pr1 0.0000 0.0000 0.0000 (multiplicity 2)  10 Ga 3.19-3.49, 6 Ag 3.52
Ga1 0.0000 0.0000 0.3536 (multiplicity 2)  1 Ga 2.59
Ga2 0.0000 0.0000 0.6412 (multiplicity 2)  1 Ga 2.59, 4 Ag 2.91
Ga3 0.0000 0.3074 0.5058 (multiplicity 4)  5 Ag 2.72-2.73, 1 Ga 2.76
Ga4 0.0000 0.3523 0.9982 (multiplicity 4)  5 Ag 2.81-2.85, 2 Ga 2.81-2.88
Ga5 0.0000 0.5000 0.2766 (multiplicity 2)  4 Ag 2.73, 4 Ga 2.76-2.88
Ag1 0.0000 0.5000 0.7287 (multiplicity 2)  4 Ga 2.72-2.81, 4 Ag 2.84
Ag2 0.2492 0.2565 0.2530 (multiplicity 8)  7 Ga 2.72-2.97, 3 Ag 2.84-2.86

=====

Density functional theory data (PBE) for a relaxed structure of KGaSi.

Results
- Fermi-level density of states (states/eV/cell) = 4.4
- total energy (eV per atom) = -3.09
- energy relative to the elements, uncorrected (eV/atom) = 0.09

a = 12.0980 Å, b = 4.0772 Å, c = 7.8719 Å
α = 90.00°, β = 103.28°, γ = 90.00°
Closest atoms and distances in Å follow each position.
Space group C2/m (No. 12)
Asymmetric unit:
K1 0.1058 0.0000 0.3113 (multiplicity 4)  4 Si 3.33-3.49, 1 Ga 3.70
Ga1 0.1715 0.5000 0.9417 (multiplicity 4)  3 Si 2.48-2.61
Si1 0.1766 0.0000 0.7640 (multiplicity 4)  3 Ga 2.48-2.61

=====

Density functional theory data (PBE) for a relaxed structure of ZrIn2Mo.

Results
- Fermi-level density of states (states/eV/cell) = 8.8
- total energy (eV per atom) = -5.93
- relative energy among the computed polymorphs (eV/atom) = 0.251

a = 6.8819 Å, b = 6.8819 Å, c = 6.8819 Å
α = 90.00°, β = 90.00°, γ = 90.00°
Closest atoms and distances in Å follow each position.
Space group F-43m (No. 216)
Asymmetric unit:
Zr1 0.0000 0.0000 0.0000 (multiplicity 4)  4 Mo 2.98, 4 In 2.98
In1 0.0000 0.0000 0.5000 (multiplicity 4)  4 In 2.98, 4 Mo 2.98
In2 0.2500 0.2500 0.2500 (multiplicity 4)  4 Zr 2.98, 4 In 2.98
Mo1 0.2500 0.2500 0.7500 (multiplicity 4)  4 Zr 2.98, 4 In 2.98

=====

Density functional theory data (PBE) for a relaxed structure of ZrPtW2.

Results
- Fermi-level density of states (states/eV/cell) = 8.3
- total energy (eV per atom) = -10.24
- relative energy among the computed polymorphs (eV/atom) = 0.057

a = 3.4790 Å, b = 4.4196 Å, c = 8.9261 Å
α = 90.00°, β = 90.00°, γ = 90.00°
Closest atoms and distances in Å follow each position.
Space group Cmm2 (No. 35)
Asymmetric unit:
Zr1 0.0000 0.0000 0.0000 (multiplicity 2)  4 Zr 2.81, 2 Pt 2.88, 2 W 2.96
Pt1 0.0000 0.5000 0.7423 (multiplicity 2)  2 W 2.70, 4 Pt 2.81, 2 Zr 2.88
W1 0.0000 0.0000 0.5114 (multiplicity 2)  2 Pt 2.70, 6 W 2.78-2.81
W2 0.0000 0.5000 0.2680 (multiplicity 2)  8 W 2.78-3.10, 2 Zr 2.96

=====

Density functional theory data (PBE) for a relaxed structure of YV3Ni.

Results
- Fermi-level density of states (states/eV/cell) = 5.6
- total energy (eV per atom) = -7.27
- relative energy among the computed polymorphs (eV/atom) = 0.000

a = 4.5274 Å, b = 4.5274 Å, c = 4.5274 Å
α = 90.00°, β = 90.00°, γ = 90.00°
Closest atoms and distances in Å follow each position.
Space group Pm-3m (No. 221)
Asymmetric unit:
Y1 0.0000 0.0000 0.0000 (multiplicity 1)  12 V 3.20
V1 0.0000 0.5000 0.5000 (multiplicity 3)  2 Ni 2.26
Ni1 0.5000 0.5000 0.5000 (multiplicity 1)  6 V 2.26

=====

Density functional theory data (PBE) for a relaxed structure of GaTc2H2.

Results
- Fermi-level density of states (states/eV/cell) = 6.9
- total energy (eV per atom) = -6.09

a = 3.0918 Å, b = 3.0918 Å, c = 10.2562 Å
α = 90.00°, β = 90.00°, γ = 90.00°
Closest atoms and distances in Å follow each position.
Space group I4/mmm (No. 139)
Asymmetric unit:
Ga1 0.0000 0.0000 0.0000 (multiplicity 2)  8 Tc 2.67
Tc1 0.0000 0.0000 0.3509 (multiplicity 4)  4 H 1.86
H1 0.0000 0.5000 0.2500 (multiplicity 4)  4 Tc 1.86

=====

Density functional theory data (PBE) for a relaxed structure of BaCOF2.

Results
- Fermi-level density of states (states/eV/cell) = 0.5
- total energy (eV per atom) = -5.14
- energy relative to the elements, uncorrected (eV/atom) = -1.17
- relative energy among the computed polymorphs (eV/atom) = 0.000

a = 4.4706 Å, b = 4.4706 Å, c = 3.3577 Å
α = 90.00°, β = 90.00°, γ = 90.00°
Closest atoms and distances in Å follow each position.
Space group P4/mmm (No. 123)
Asymmetric unit:
Ba1 0.0000 0.0000 0.0000 (multiplicity 1)  8 F 2.80
C1 0.5000 0.5000 0.5000 (multiplicity 1)  2 O 1.68
O1 0.5000 0.5000 0.0000 (multiplicity 1)  2 C 1.68
F1 0.0000 0.5000 0.5000 (multiplicity 2)  2 C 2.24

=====

Number 1: calculated density 8.5 g/cm3, total magnetic moment 0.352 μB per atom. Number 2: calculated density 7.9 g/cm3, total magnetic moment 0.000 μB per atom. Number 3: calculated density 2.4 g/cm3, total magnetic moment 0.000 μB per atom. Number 4: calculated density 8.5 g/cm3, total magnetic moment 0.000 μB per atom. Number 5: calculated density 15.8 g/cm3, total magnetic moment 0.000 μB per atom. Number 6: calculated density 5.4 g/cm3, total magnetic moment 0.808 μB per atom. Number 7: calculated density 9.1 g/cm3, total magnetic moment 0.000 μB per atom. Number 8: calculated density 5.0 g/cm3, total magnetic moment 0.000 μB per atom.